# 1
An optimized crystal structure of K2AgClO. Source: Alexandria via LeMat-Bulk, functional PBE.

Unit cell a=5.504 b=5.504 c=4.127 alpha=90.00 beta=90.00 gamma=90.00
Element x y z (fractional)
K1 0.000 0.500 0.000
K2 0.500 0.000 0.000
Ag1 0.000 0.000 0.500
Cl1 0.500 0.500 0.500
O1 0.000 0.000 0.000

- E_tot: -17.7 eV for the cell shown
- Magnetic moment: 0.000 μB/f.u.
- Symmetry: P4/mmm, No. 123


# 2
An optimized crystal structure of KAgCl2O. Source: Alexandria via LeMat-Bulk, functional PBE.

Unit cell a=5.763 b=5.763 c=4.813 alpha=90.00 beta=90.00 gamma=90.00
Element x y z (fractional)
K1 0.000 0.000 0.000
Ag1 0.500 0.500 0.500
Cl1 0.000 0.500 0.000
Cl2 0.500 0.000 0.000
O1 0.000 0.000 0.500

- E_tot: -11.7 eV for the cell shown
- Magnetic moment: 0.000 μB/f.u.
- Symmetry: P4/mmm, No. 123


# 3
An optimized crystal structure of KAgOsCl6. Source: Alexandria via LeMat-Bulk, functional PBE.

Unit cell a=6.834 b=6.834 c=6.603 alpha=90.00 beta=90.00 gamma=120.00
Element x y z (fractional)
K1 0.000 0.000 0.000
Ag1 0.333 0.667 0.500
Os1 0.667 0.333 0.500
Cl1 0.391 0.046 0.704
Cl2 0.391 0.345 0.296
Cl3 0.655 0.046 0.296
Cl4 0.655 0.609 0.704
Cl5 0.954 0.345 0.704
Cl6 0.954 0.609 0.296

- E_tot: -33.2 eV for the cell shown
- Magnetic moment: 2.001 μB/f.u.
- Symmetry: P312, No. 149


# 4
An optimized crystal structure of KAgPCl2. Source: Alexandria via LeMat-Bulk, functional PBE.

Unit cell a=5.784 b=5.784 c=5.919 alpha=90.00 beta=90.00 gamma=90.00
Element x y z (fractional)
K1 0.000 0.000 0.000
Ag1 0.500 0.500 0.500
P1 0.000 0.000 0.500
Cl1 0.000 0.500 0.000
Cl2 0.500 0.000 0.000

- Energy relative to the lowest polymorph listed for this composition: 3.670 eV/f.u.
- Magnetic moment: 3.073 μB/f.u.
- Symmetry: P4/mmm, No. 123


# 5
An optimized crystal structure of KAgP2Cl. Source: Alexandria via LeMat-Bulk, functional PBE.

Unit cell a=4.748 b=4.748 c=6.433 alpha=90.00 beta=90.00 gamma=90.00
Element x y z (fractional)
K1 0.000 0.000 0.000
Ag1 0.500 0.500 0.500
P1 0.000 0.500 0.500
P2 0.500 0.000 0.500
Cl1 0.500 0.500 0.000

- Energy relative to the lowest polymorph listed for this composition: 0.000 eV/f.u.
- Magnetic moment: 1.979 μB/f.u.
- Symmetry: P4/mmm, No. 123


# 6
An optimized crystal structure of KAgPCl2. Source: Alexandria via LeMat-Bulk, functional PBE.

Unit cell a=5.424 b=5.424 c=4.848 alpha=90.00 beta=90.00 gamma=90.00
Element x y z (fractional)
K1 0.000 0.000 0.000
Ag1 0.500 0.500 0.500
P1 0.500 0.500 0.000
Cl1 0.000 0.500 0.500
Cl2 0.500 0.000 0.500

- Energy relative to the lowest polymorph listed for this composition: 0.000 eV/f.u.
- Magnetic moment: 2.143 μB/f.u.
- Symmetry: P4/mmm, No. 123


# 7
An optimized crystal structure of KAgP2Cl. Source: Alexandria via LeMat-Bulk, functional PBE.

Unit cell a=6.286 b=6.286 c=5.553 alpha=90.00 beta=90.00 gamma=90.00
Element x y z (fractional)
K1 0.000 0.000 0.000
Ag1 0.500 0.500 0.500
P1 0.000 0.500 0.000
P2 0.500 0.000 0.000
Cl1 0.000 0.000 0.500

- Energy relative to the lowest polymorph listed for this composition: 4.971 eV/f.u.
- Magnetic moment: 5.000 μB/f.u.
- Symmetry: P4/mmm, No. 123


# 8
An optimized crystal structure of KPaAgCl6. Source: Alexandria via LeMat-Bulk, functional PBE.

Unit cell a=7.367 b=7.367 c=11.862 alpha=90.00 beta=90.00 gamma=120.00
Element x y z (fractional)
K1 0.333 0.667 0.250
K2 0.667 0.333 0.750
Pa1 0.333 0.667 0.750
Pa2 0.667 0.333 0.250
Ag1 0.000 0.000 0.000
Ag2 0.000 0.000 0.500
Cl1 0.051 0.358 0.622
Cl2 0.051 0.693 0.878
Cl3 0.307 0.358 0.878
Cl4 0.307 0.949 0.622
Cl5 0.358 0.051 0.122
Cl6 0.358 0.307 0.378
Cl7 0.642 0.693 0.622
Cl8 0.642 0.949 0.878
Cl9 0.693 0.051 0.378
Cl10 0.693 0.642 0.122
Cl11 0.949 0.307 0.122
Cl12 0.949 0.642 0.378

- E_tot: -77.5 eV for the cell shown
- Magnetic moment: 1.013 μB/f.u.
- Symmetry: P-31c, No. 163


# 9
An optimized crystal structure of KAgPb2Cl8. Source: Alexandria via LeMat-Bulk, functional PBE.

Unit cell a=6.598 b=8.682 c=6.780 alpha=90.00 beta=95.52 gamma=90.00
Element x y z (fractional)
K1 0.000 0.000 0.000
Ag1 0.000 0.500 0.000
Pb1 0.500 0.261 0.500
Pb2 0.500 0.739 0.500
Cl1 0.216 0.296 0.167
Cl2 0.216 0.704 0.167
Cl3 0.283 0.500 0.663
Cl4 0.303 0.000 0.660
Cl5 0.697 0.000 0.340
Cl6 0.717 0.500 0.337
Cl7 0.784 0.296 0.833
Cl8 0.784 0.704 0.833

- E_tot: -37.6 eV for the cell shown
- Magnetic moment: 0.000 μB/f.u.
- Symmetry: P2/m, No. 10


# 10
An optimized crystal structure of KAgPbCl5. Source: Alexandria via LeMat-Bulk, functional PBE.

Unit cell a=7.675 b=7.675 c=10.403 alpha=101.19 beta=101.19 gamma=113.39
Element x y z (fractional)
K1 0.170 0.830 0.750
K2 0.830 0.170 0.250
Ag1 0.171 0.829 0.250
Ag2 0.829 0.171 0.750
Pb1 0.500 0.500 0.000
Pb2 0.500 0.500 0.500
Cl1 0.117 0.199 0.930
Cl2 0.199 0.117 0.430
Cl3 0.212 0.619 0.403
Cl4 0.381 0.788 0.097
Cl5 0.420 0.580 0.750
Cl6 0.580 0.420 0.250
Cl7 0.619 0.212 0.903
Cl8 0.788 0.381 0.597
Cl9 0.801 0.883 0.570
Cl10 0.883 0.801 0.070

- E_tot: -50.3 eV for the cell shown
- Magnetic moment: 0.000 μB/f.u.
- Symmetry: C2/c, No. 15


# 11
An optimized crystal structure of K2AgPbCl6. Source: Alexandria via LeMat-Bulk, functional PBE.

Unit cell a=7.324 b=7.638 c=12.746 alpha=90.00 beta=124.60 gamma=90.00
Element x y z (fractional)
K1 0.227 0.067 0.249
K2 0.227 0.433 0.749
K3 0.773 0.567 0.251
K4 0.773 0.933 0.751
Ag1 0.000 0.000 0.500
Ag2 0.000 0.500 0.000
Pb1 0.500 0.000 0.000
Pb2 0.500 0.500 0.500
Cl1 0.148 0.209 0.952
Cl2 0.148 0.291 0.452
Cl3 0.247 0.700 0.954
Cl4 0.247 0.800 0.454
Cl5 0.335 0.023 0.743
Cl6 0.335 0.477 0.243
Cl7 0.665 0.523 0.757
Cl8 0.665 0.977 0.257
Cl9 0.753 0.200 0.546
Cl10 0.753 0.300 0.046
Cl11 0.852 0.709 0.548
Cl12 0.852 0.791 0.048

- E_tot: -64.7 eV for the cell shown
- Magnetic moment: 0.000 μB/f.u.
- Symmetry: P2_1/c, No. 14


# 12
An optimized crystal structure of K3Ag2PbCl9. Source: Alexandria via LeMat-Bulk, functional PBE.

Unit cell a=7.427 b=7.427 c=9.306 alpha=90.00 beta=90.00 gamma=120.00
Element x y z (fractional)
K1 0.000 0.000 0.000
K2 0.333 0.667 0.723
K3 0.667 0.333 0.277
Ag1 0.333 0.667 0.160
Ag2 0.667 0.333 0.840
Pb1 0.000 0.000 0.500
Cl1 0.000 0.500 0.000
Cl2 0.169 0.337 0.324
Cl3 0.169 0.831 0.324
Cl4 0.337 0.169 0.676
Cl5 0.500 0.000 0.000
Cl6 0.500 0.500 0.000
Cl7 0.663 0.831 0.324
Cl8 0.831 0.169 0.676
Cl9 0.831 0.663 0.676

- E_tot: -46.5 eV for the cell shown
- Magnetic moment: 0.000 μB/f.u.
- Symmetry: P-3m1, No. 164